(1)
Computed, not measured: a relaxed Pa2CrAs2N2 crystal at the GGA-PBE level of DFT.

Cell and atoms, written as POSCAR:
```
Pa2CrAs2N2
1.0
-1.449 3.150 -1.646
-0.739 -0.994 -5.729
-6.038 -1.258 -1.566
Pa Cr As N
2 1 2 2
Direct
0.193 0.355 0.259 Pa
0.807 0.645 0.741 Pa
0.000 0.000 0.000 Cr
0.553 0.206 0.688 As
0.447 0.794 0.312 As
0.204 0.680 0.912 N
0.796 0.320 0.088 N
```

## Properties
Crystal system: monoclinic
Density in g/cm³: 9.430
Space-group type: C2/m (12)

=====

(2)
Computed, not measured: a relaxed Rb2CrAsN crystal at the GGA-PBE level of DFT.

Cell and atoms, written as POSCAR:
```
Rb2CrAsN
1.0
6.697 0.000 0.000
0.000 4.688 0.000
0.000 0.000 6.697
Cr As Rb N
1 1 2 1
Direct
0.000 0.500 0.000 Cr
0.000 0.000 0.000 As
0.000 0.000 0.500 Rb
0.500 0.000 0.000 Rb
0.500 0.500 0.500 N
```

## Properties
Crystal system: tetragonal
Density in g/cm³: 2.463
Space-group type: P4/mmm (123)

=====

Number 1: raw formation energy -1.156 eV/atom. Number 2: raw formation energy 1.000 eV/atom.